(1)
This record from Alexandria describes an optimized crystal structure of YTe. The functional is PBE.

abc: 4.366 4.366 4.366
angles: 60.00 60.00 60.00
Fractional coordinates of all 2 atoms:
Y (0.000, 0.000, 0.000)
Te (0.500, 0.500, 0.500)

As for the space-group type: Fm-3m (225). Its volume is 58.9 Å³/cell. The total magnetic moment is 0.00 μB per cell. Its raw formation energy is -1.306 eV/atom. Its final energy is -6.1092 eV per atom.

***

(2)
This record from Alexandria describes an optimized crystal structure of Ce3Dy2Co2. The functional is PBE.

abc: 5.929 5.929 8.600
angles: 109.63 109.63 35.55
Fractional coordinates of all 7 atoms:
Ce (0.000, 0.000, 0.000)
Ce (0.120, 0.120, 0.431)
Ce (0.880, 0.880, 0.569)
Dy (0.332, 0.332, 0.198)
Dy (0.668, 0.668, 0.802)
Co (0.378, 0.378, 0.788)
Co (0.622, 0.622, 0.212)

As for the space-group type: C2/m (12). Its volume is 164.5 Å³/cell. The total magnetic moment is 0.00 μB per cell. Its final energy is -6.0444 eV per atom. The energy relative to the elements is -0.156 eV per atom.

***

(3)
This record from Alexandria describes an optimized crystal structure of BC2. The functional is PBE.

abc: 3.835 2.541 7.886
angles: 90.00 91.11 90.00
Fractional coordinates of all 12 atoms:
B (0.000, 0.000, 0.000)
B (0.010, 0.000, 0.303)
B (0.263, 0.000, 0.533)
B (0.722, 0.500, 0.348)
C (0.256, 0.000, 0.832)
C (0.283, 0.000, 0.166)
C (0.493, 0.500, 0.838)
C (0.502, 0.500, 0.157)
C (0.507, 0.500, 0.516)
C (0.725, 0.500, 0.998)
C (0.749, 0.500, 0.678)
C (0.982, 0.000, 0.681)

Its relative energy among the computed polymorphs is 0.104 eV/atom. As for the space-group type: Pm (6). Its volume is 76.9 Å³/cell. The total magnetic moment is 0.00 μB per cell. Its final energy is -8.0308 eV per atom. The energy relative to the elements is 0.344 eV per atom.

***

Among the records above, which one has the lowest volume?
YTe